An optimized crystal structure of TiI2NCl, computed with PBE.

a = 6.384 Å, b = 6.384 Å, c = 3.427 Å
α = 90.00°, β = 90.00°, γ = 90.00°
Fractional positions:
1 Ti 0.000 0.000 0.000
2 I 0.000 0.500 0.500
3 I 0.500 0.000 0.500
4 N 0.500 0.500 0.000
5 Cl 0.500 0.500 0.500

Calculated values
- ΔE to the lowest computed polymorph (meV per atom) = 1261
- space-group type = No. 123
- magnetization (μB/atom) = 0.607